Record 1
{
  "formula": "Al2FeSi",
  "functional": "PBE-GGA",
  "state": "optimized geometry",
  "formation_energy_uncorrected_ev_per_atom": -0.04,
  "crystal_system": "orthorhombic",
  "total_energy_ev_per_atom": -5.388,
  "spacegroup": "Cmmm, No. 65",
  "cell": [[2.5259, -3.6351, 0.0000], [2.5259, 3.6351, 0.0000], [0.0000, 0.0000, 2.8826]],
  "species": ["Al", "Al", "Fe", "Si"],
  "fractional_positions": [[0.0000, 0.5000, 0.0000], [0.5000, 0.0000, 0.0000], [0.0000, 0.0000, 0.5000], [0.5000, 0.5000, 0.5000]]
}


Record 2
{
  "formula": "AlFeSi",
  "functional": "PBE-GGA",
  "state": "optimized geometry",
  "formation_energy_uncorrected_ev_per_atom": -0.18,
  "crystal_system": "cubic",
  "total_energy_ev_per_atom": -6.061,
  "spacegroup": "F-43m, No. 216",
  "cell": [[0.0000, 2.7592, 2.7592], [2.7592, 0.0000, 2.7592], [2.7592, 2.7592, 0.0000]],
  "species": ["Al", "Fe", "Si"],
  "fractional_positions": [[0.0000, 0.0000, 0.0000], [0.2500, 0.2500, 0.2500], [0.5000, 0.5000, 0.5000]]
}


Record 3
{
  "formula": "Al5Fe3Si",
  "functional": "PBE-GGA",
  "state": "optimized geometry",
  "formation_energy_uncorrected_ev_per_atom": -0.10,
  "crystal_system": "orthorhombic",
  "total_energy_ev_per_atom": -5.604,
  "spacegroup": "Cmcm, No. 63",
  "cell": [[1.4079, -6.6171, 0.0000], [1.4079, 6.6171, 0.0000], [0.0000, 0.0000, 13.1138]],
  "species": ["Al", "Al", "Al", "Al", "Al", "Al", "Al", "Al", "Al", "Al", "Fe", "Fe", "Fe", "Fe", "Fe", "Fe", "Si", "Si"],
  "fractional_positions": [[0.0000, 0.0000, 0.0000], [0.0000, 0.0000, 0.5000], [0.1923, 0.8077, 0.5576], [0.1923, 0.8077, 0.9424], [0.4463, 0.5537, 0.1583], [0.4463, 0.5537, 0.3417], [0.5537, 0.4463, 0.6583], [0.5537, 0.4463, 0.8417], [0.8077, 0.1923, 0.0576], [0.8077, 0.1923, 0.4424], [0.1829, 0.8171, 0.7500], [0.3735, 0.6265, 0.6041], [0.3735, 0.6265, 0.8959], [0.6265, 0.3735, 0.1041], [0.6265, 0.3735, 0.3959], [0.8171, 0.1829, 0.2500], [0.1707, 0.8293, 0.2500], [0.8293, 0.1707, 0.7500]]
}